DFT (PBEsol) results for an optimized crystal structure of YBe2Ga.

abc: 4.224 4.224 15.276
angles: 90.00 90.00 90.00
Space group I4_1/amd (No. 141, origin choice 2)
Symmetry-distinct sites (fractional):
Y1 0.000 0.250 0.375 x4
Be1 0.000 0.000 0.000 x8
Ga1 0.000 0.250 0.875 x4

## Properties
- spin magnetization (μB/atom) = 0.000
- DFT formation energy (eV per atom) = -0.046
- final energy (eV per atom) = -4.586
- D(E_F) (states/eV/cell) = 4.03